Entry 1:
Pm4InHg | PBE | relaxed

Values from the calculation:
Raw total energy = -0.13871 hartree per atom

a = 3.775 Å, b = 5.801 Å, c = 8.895 Å
α = 90.00°, β = 90.00°, γ = 90.00°
Space group Pmmm (No. 47)
Inequivalent atoms, fractional coordinates:
Pm 0.000 0.000 0.205
Pm 0.500 0.500 0.289
In 0.500 0.000 0.500
Hg 0.000 0.500 0.000

---

Entry 2:
PmIn6Hg12 | PBE | relaxed

Values from the calculation:
Raw total energy = -0.05050 hartree per atom
Excess energy over the best structure of this formula in the dataset = 0 meV per atom

a = 14.3350 Å, b = 14.3350 Å, c = 8.3605 Å
α = 90.00°, β = 90.00°, γ = 120.00°
Space group R-3 (No. 148, hexagonal axes)
Inequivalent atoms, fractional coordinates:
Pm 0.0000 0.0000 0.0000
In 0.0313 0.2718 0.3508
Hg 0.0168 0.1409 0.6756
Hg 0.0693 0.5677 0.6653

---

no.,formation enthalpy at 0 K (eV per atom)
1,-0.10
2,-0.07